(1)
Entry from Alexandria via LeMat-Bulk: a relaxed structure of UTlHSe3 (PBE).

The total energy comes out at -5.157 eV per atom.

Structure (POSCAR):
```
UTlHSe3
1.0
9.2003 0.0000 0.0000
0.0000 3.8479 0.0000
-2.5193 0.0000 8.8579
U Tl H Se
2 2 2 6
Direct
0.1803 0.2500 0.1711
0.8197 0.7500 0.8289
0.3251 0.7500 0.7327
0.6749 0.2500 0.2673
0.2088 0.7500 0.2703
0.7912 0.2500 0.7297
0.0581 0.2500 0.8539
0.2935 0.2500 0.4578
0.3742 0.7500 0.1075
0.6258 0.2500 0.8925
0.7065 0.7500 0.5422
0.9419 0.7500 0.1461
```

---

(2)
Entry from Alexandria via LeMat-Bulk: a relaxed structure of Be2InPb (PBE).

The calculation puts the energy above the most stable polymorph in this dataset at 1.35 eV per formula unit. The calculation puts the energy of formation at 0.68 eV per atom.

Structure (POSCAR):
```
Be2InPb
1.0
2.2371 -2.6712 0.0000
2.2371 2.6712 0.0000
0.0000 0.0000 6.6152
Be In Pb
2 1 1
Direct
0.0000 0.0000 0.1808
0.0000 0.0000 0.8192
0.5000 0.5000 0.0000
0.5000 0.5000 0.5000
```

---

What did the second record say?
Entry from Alexandria via LeMat-Bulk: a relaxed structure of Be2InPb (PBE).

The calculation puts the energy above the most stable polymorph in this dataset at 1.35 eV per formula unit. The calculation puts the energy of formation at 0.68 eV per atom.

Structure (POSCAR):
```
Be2InPb
1.0
2.2371 -2.6712 0.0000
2.2371 2.6712 0.0000
0.0000 0.0000 6.6152
Be In Pb
2 1 1
Direct
0.0000 0.0000 0.1808
0.0000 0.0000 0.8192
0.5000 0.5000 0.0000
0.5000 0.5000 0.5000
```